No. 1
MoPb2Br | PBE | optimized geometry

POSCAR file:
```
MoPb2Br
1.0
0.0000 3.7697 3.7697
3.7697 0.0000 3.7697
3.7697 3.7697 0.0000
Mo Pb Br
1 2 1
Direct
0.5000 0.5000 0.5000
0.2500 0.2500 0.2500
0.7500 0.7500 0.7500
0.0000 0.0000 0.0000
```

Computed properties:
The formation energy (no corrections) is 795.5 meV per atom.

***

No. 2
TbRu2O8 | PBE | optimized geometry

POSCAR file:
```
TbRu2O8
1.0
-2.9950 5.2802 -2.9141
-5.0674 -0.4388 4.4126
6.3440 0.5183 2.1990
Tb O Ru
1 8 2
Direct
0.5000 0.5000 0.0000
0.3569 0.6430 0.7138
0.3570 0.6431 0.2862
0.0707 0.3569 0.7138
0.6430 0.3569 0.7138
0.6431 0.9293 0.2862
0.6431 0.3570 0.2862
0.9293 0.6431 0.2862
0.3569 0.0707 0.7138
0.2500 0.7500 0.5000
0.7500 0.2500 0.5000
```

Computed properties:
The formation energy (no corrections) is -1322.1 meV per atom.

***

No. 3
Al2VNiS | PBE | optimized geometry

POSCAR file:
```
Al2VNiS
1.0
4.5857 0.0000 0.0000
0.0000 4.0502 0.0000
0.0000 0.0000 4.5857
V S Ni Al
1 1 1 2
Direct
0.5000 0.5000 0.5000
0.0000 0.0000 0.0000
0.0000 0.5000 0.0000
0.0000 0.0000 0.5000
0.5000 0.0000 0.0000
```

Computed properties:
The formation energy (no corrections) is 626.2 meV per atom.

***

No. 4
ErCoP2Ru | PBE | optimized geometry

POSCAR file:
```
ErCoP2Ru
1.0
3.8824 0.0000 0.0000
0.0000 3.8824 0.0000
-1.9412 -1.9412 4.8182
Ru P Co Er
1 2 1 1
Direct
0.7500 0.2500 0.5000
0.3800 0.3800 0.7601
0.6200 0.6200 0.2399
0.2500 0.7500 0.5000
0.0000 0.0000 0.0000
```

Computed properties:
The calculation puts the energy relative to the elements at -0.99 eV per atom.

***

No. 5
Li2TlTc | PBE | optimized geometry

POSCAR file:
```
Li2TlTc
1.0
2.8297 0.0000 0.0000
0.0000 4.2207 0.0000
0.0000 0.0000 5.7849
Tl Li Tc
1 2 1
Direct
0.5000 0.5000 0.7430
0.5000 0.5000 0.2577
0.0000 0.0000 0.0082
0.0000 0.0000 0.4911
```

Computed properties:
The calculation puts the energy relative to the elements at 0.37 eV per atom.

***

No. 6
TlP4 | PBE | optimized geometry

POSCAR file:
```
TlP4
1.0
-3.0721 3.0721 3.0721
3.0721 -3.0721 3.0721
3.0721 3.0721 -3.0721
P Tl
4 1
Direct
0.5000 0.5000 0.5000
0.5000 0.0000 0.0000
0.0000 0.5000 0.0000
0.0000 0.0000 0.5000
0.0000 0.0000 0.0000
```

Computed properties:
The calculation puts the energy relative to the elements at 1.28 eV per atom.

***

No. 7
LiTm3Co2 | PBE | optimized geometry

POSCAR file:
```
LiTm3Co2
1.0
-2.0605 1.7708 1.8839
1.1567 -1.5231 2.6968
7.8339 7.9269 1.1169
Co Tm Li
2 3 1
Direct
0.5000 0.5000 0.1534
0.5000 0.5000 0.8466
0.0000 0.0000 0.2897
0.0000 0.0000 0.0000
0.0000 0.0000 0.7103
0.5000 0.5000 0.5000
```

Computed properties:
The calculation puts the energy relative to the elements at -0.15 eV per atom.

***

No. 8
Zr2InPt | PBE | optimized geometry

POSCAR file:
```
Zr2InPt
1.0
-3.0584 -5.9565 3.9858
-1.6812 -3.6164 -6.6945
0.2959 -6.1208 -1.3030
Zr Pt In
4 2 2
Direct
0.0840 0.6250 0.2500
0.3750 0.3340 0.7500
0.6660 0.1250 0.2500
0.8750 0.9160 0.7500
0.7500 0.2500 0.5000
0.0000 0.0000 0.0000
0.5000 0.5000 0.0000
0.2500 0.7500 0.5000
```

Computed properties:
The calculation puts the energy relative to the elements at -0.28 eV per atom.

***

No. 9
CdTc2Mo | PBE | optimized geometry

POSCAR file:
```
CdTc2Mo
1.0
5.3161 -0.0025 0.0001
2.4660 4.7096 -0.0001
-3.3973 -3.1698 2.5830
Tc Mo Cd
2 1 1
Direct
0.7665 0.2665 0.5000
0.0017 0.0017 0.0000
0.2312 0.7312 0.5000
0.5006 0.5006 0.0000
```

Computed properties:
The calculation puts the energy relative to the elements at 0.37 eV per atom.

***

No. 10
MnAlCr2C | PBE | optimized geometry

POSCAR file:
```
MnAlCr2C
1.0
3.8475 0.0000 0.0000
0.0000 3.8475 0.0000
0.0000 0.0000 3.8754
Al Mn Cr C
1 1 2 1
Direct
0.5000 0.5000 0.5000
0.0000 0.0000 0.5000
0.5000 0.0000 0.0000
0.0000 0.5000 0.0000
0.0000 0.0000 0.0000
```

Computed properties:
The calculation puts the energy relative to the elements at -0.07 eV per atom.

***

No. 11
ScAuBr | PBE | optimized geometry

POSCAR file:
```
ScAuBr
1.0
4.7247 0.0000 0.0000
2.3623 4.0917 0.0000
2.3623 1.3639 3.8577
Sc Au Br
1 1 1
Direct
0.7500 0.7500 0.7500
0.0000 0.0000 0.0000
0.5000 0.5000 0.5000
```

Computed properties:
The formation energy (no corrections) is -575.4 meV per atom.

***

No. 12
Na2GeAu3 | PBE | optimized geometry

POSCAR file:
```
Na2GeAu3
1.0
4.8917 -0.0006 2.2832
1.4537 4.6707 2.2832
-0.0008 -0.0006 5.3983
Na Ge Au
2 1 3
Direct
0.6244 0.6244 0.6244
0.3756 0.3756 0.3756
0.0000 0.0000 0.0000
0.0000 0.5000 0.0000
0.5000 0.0000 0.0000
0.0000 0.0000 0.5000
```

Computed properties:
The calculation puts the energy relative to the elements at -0.31 eV per atom.